*w*
# ScFeN2F PBE+U relaxed
# - magnetic moment (Bohr magnetons per cell) = 3.16
# - volume (Å³ per cell) = 69
# - crystal system = tetragonal
# - mass density (g/cm3) = 3.57
data_ScFeN2F
_chemical_formula_sum 'Sc1 Fe1 N2 F1'
_symmetry_space_group_name_H-M 'P 4/m m m'
_symmetry_Int_Tables_number 123
_symmetry_space_group_name_Hall '-P 4 2'
_cell_length_a 4.1561
_cell_length_b 4.1561
_cell_length_c 3.9778
_cell_angle_alpha 90.00
_cell_angle_beta 90.00
_cell_angle_gamma 90.00
loop_
_atom_site_label
_atom_site_type_symbol
_atom_site_fract_x
_atom_site_fract_y
_atom_site_fract_z
Sc1 Sc 0.0000 0.0000 0.0000
Fe1 Fe 0.5000 0.5000 0.5000
N1 N 0.0000 0.5000 0.0000
F1 F 0.0000 0.0000 0.5000

*x*
# ScFeN2F PBE+U relaxed
# - magnetic moment (Bohr magnetons per cell) = 4.30
# - volume (Å³ per cell) = 56
# - crystal system = tetragonal
# - mass density (g/cm3) = 4.35
data_ScFeN2F
_chemical_formula_sum 'Sc1 Fe1 N2 F1'
_symmetry_space_group_name_H-M 'P 4/m m m'
_symmetry_Int_Tables_number 123
_symmetry_space_group_name_Hall '-P 4 2'
_cell_length_a 3.8547
_cell_length_b 3.8547
_cell_length_c 3.7965
_cell_angle_alpha 90.00
_cell_angle_beta 90.00
_cell_angle_gamma 90.00
loop_
_atom_site_label
_atom_site_type_symbol
_atom_site_fract_x
_atom_site_fract_y
_atom_site_fract_z
Sc1 Sc 0.0000 0.0000 0.0000
Fe1 Fe 0.5000 0.5000 0.5000
N1 N 0.0000 0.5000 0.5000
F1 F 0.5000 0.5000 0.0000

Which one sits at the bottom of the stability order? *w* does.